FePIO2 (PBE with a Hubbard U, relaxed); spin magnetization = 3.49 μB per formula unit; excess energy over the best structure of this formula in the dataset = 0.023 eV/atom
1.0
3.691 0.000 0.000
0.000 3.691 0.000
0.000 0.000 6.349
Fe P I O
1 1 1 2
Direct
0.000 0.000 0.000
0.500 0.500 0.500
0.500 0.500 0.000
0.000 0.500 0.500
0.500 0.000 0.500